This record from Alexandria via LeMat-Bulk describes a relaxed Pa2Ga4PdAu3 crystal. The functional is GGA-PBE.

Computed properties:
As for the energy of formation from the pure elements: -407.9 meV/atom.

Lattice parameters (Å, degrees): 4.298 4.298 10.598 90.00 90.00 90.00
Atoms (fractional coordinates):
1 Pa 0.000 0.500 0.242
2 Pa 0.500 0.000 0.758
3 Ga 0.000 0.000 0.500
4 Ga 0.000 0.500 0.870
5 Ga 0.500 0.000 0.130
6 Ga 0.500 0.500 0.500
7 Pd 0.500 0.500 0.000
8 Au 0.000 0.000 0.000
9 Au 0.000 0.500 0.639
10 Au 0.500 0.000 0.361